Here is crystalline NdCu5Pd at its relaxed geometry from Alexandria. Energies are from GGA-PBE.

Unit cell a=5.0536 b=8.2198 c=10.3119 alpha=90.00 beta=90.00 gamma=90.00
With the nearest neighbours (Å) after each atom.
Element x y z (fractional)
1 Nd 0.2500 0.2404 0.9349  12 Cu 2.91-3.23, 2 Pd 3.18-3.24
2 Nd 0.7500 0.2596 0.4349  12 Cu 2.91-3.23, 2 Pd 3.18-3.24
3 Nd 0.2500 0.7404 0.5651  12 Cu 2.91-3.23, 2 Pd 3.18-3.24
4 Nd 0.7500 0.7596 0.0651  12 Cu 2.91-3.23, 2 Pd 3.18-3.24
5 Cu 0.2500 0.5944 0.0170  5 Cu 2.47-2.54, 1 Pd 2.71
6 Cu 0.7500 0.9056 0.5170  5 Cu 2.47-2.54, 1 Pd 2.71
7 Cu 0.2500 0.0944 0.4830  5 Cu 2.47-2.54, 1 Pd 2.71
8 Cu 0.7500 0.4056 0.9830  5 Cu 2.47-2.54, 1 Pd 2.71
9 Cu 0.7500 0.3144 0.7495  7 Cu 2.49-2.61, 2 Pd 2.79
10 Cu 0.2500 0.1856 0.2495  7 Cu 2.49-2.61, 2 Pd 2.79
11 Cu 0.7500 0.8144 0.7505  7 Cu 2.49-2.61, 2 Pd 2.79
12 Cu 0.2500 0.6856 0.2505  7 Cu 2.49-2.61, 2 Pd 2.79
13 Cu 0.2500 0.9435 0.1032  4 Cu 2.50-2.61, 1 Pd 2.62
14 Cu 0.7500 0.5565 0.6032  4 Cu 2.50-2.61, 1 Pd 2.62
15 Cu 0.2500 0.4435 0.3968  4 Cu 2.50-2.61, 1 Pd 2.62
16 Cu 0.7500 0.0565 0.8968  4 Cu 2.50-2.61, 1 Pd 2.62
17 Cu 0.9974 0.4345 0.1880  7 Cu 2.47-2.55, 2 Pd 2.75
18 Cu 0.0026 0.0655 0.6880  7 Cu 2.47-2.55, 2 Pd 2.75
19 Cu 0.5026 0.9345 0.3120  7 Cu 2.47-2.55, 2 Pd 2.75
20 Cu 0.4974 0.5655 0.8120  7 Cu 2.47-2.55, 2 Pd 2.75
21 Cu 0.0026 0.5655 0.8120  7 Cu 2.47-2.55, 2 Pd 2.75
22 Cu 0.9974 0.9345 0.3120  7 Cu 2.47-2.55, 2 Pd 2.75
23 Cu 0.4974 0.0655 0.6880  7 Cu 2.47-2.55, 2 Pd 2.75
24 Cu 0.5026 0.4345 0.1880  7 Cu 2.47-2.55, 2 Pd 2.75
25 Pd 0.2500 0.8579 0.8588  8 Cu 2.62-2.79
26 Pd 0.7500 0.6421 0.3588  8 Cu 2.62-2.79
27 Pd 0.2500 0.3579 0.6412  8 Cu 2.62-2.79
28 Pd 0.7500 0.1421 0.1412  8 Cu 2.62-2.79

## Properties
Volume in Å³ per cell: 428.3
Calculated total energy in eV/atom: -4.604
DOS(E_F) in states/eV per cell: 13.71
E_form in kcal/mol of atoms: -5.9